The following is a DFT calculation (GGA+U) of a relaxed structure of HWOF2.

The structure in extended XYZ format:
```
5
Lattice="4.2070 0.0000 0.0000 0.0000 4.2070 0.0000 0.0000 0.0000 3.8860" Properties=species:S:1:pos:R:3 pbc="T T T"
H 0.0000 0.0000 0.0000
W 2.1035 2.1035 1.9430
O 2.1035 2.1035 0.0000
F 0.0000 2.1035 1.9430
F 2.1035 0.0000 1.9430
```

## Properties
**D(E_F)**: 0.46 states/eV/f.u.
**Symmetry**: No. 123
**Energy relative to the lowest polymorph listed for this composition**: 0 kJ/mol of formula units
**Density**: 5.77 Mg/m³
**Magnetic moment**: 3.00 μB per formula unit